Entry 1:
## KCd2Tc (PBE)

Data for a geometry-optimized KCd2Tc structure.

abc: 10.2269 10.2269 10.2269
angles: 147.98 147.98 45.91
Positions (direct):
1 K 0.0000 0.0000 0.0000
2 K 0.7500 0.2500 0.5000
3 Cd 0.3699 0.1250 0.7449
4 Cd 0.3750 0.6301 0.7551
5 Cd 0.3801 0.6250 0.2551
6 Cd 0.8750 0.6199 0.2449
7 Tc 0.2500 0.7500 0.5000
8 Tc 0.5000 0.5000 0.0000

Calculated values
VASP energy: -2.446 eV/atom
Relative energy among the computed polymorphs: 382 meV/atom
M_tot: 2.8 μB per formula unit
Energy relative to the elements: 0.877 eV per atom
Mass density: 4.01 g/cm³

***

Entry 2:
## Li2CrSi (PBE)

Data for a geometry-optimized Li2CrSi structure.

abc: 2.4420 2.4420 8.6804
angles: 90.00 90.00 90.00
Positions (direct):
1 Li 0.0000 0.0000 0.2362
2 Li 0.0000 0.0000 0.7638
3 Cr 0.5000 0.5000 0.5000
4 Si 0.5000 0.5000 0.0000

Calculated values
VASP energy: -4.497 eV/atom
Raw formation energy: 21 kJ/mol of atoms
M_tot: 0.0 μB per formula unit
Mass density: 3.01 g/cm³

***

Entry 3:
## Li3Ag4Pb (PBE)

Data for a geometry-optimized Li3Ag4Pb structure.

abc: 9.0181 9.0181 10.2490
angles: 120.01 120.01 18.72
Positions (direct):
1 Li 0.0000 0.0000 0.0000
2 Li 0.1879 0.1879 0.0424
3 Li 0.8121 0.8121 0.9576
4 Ag 0.1672 0.1672 0.7550
5 Ag 0.4502 0.4502 0.1679
6 Ag 0.5498 0.5498 0.8321
7 Ag 0.8328 0.8328 0.2450
8 Pb 0.5000 0.5000 0.5000

Calculated values
VASP energy: -2.482 eV/atom
Relative energy among the computed polymorphs: 291 meV/atom
M_tot: 0.0 μB per formula unit
Energy relative to the elements: 0.125 eV per atom
Mass density: 4.75 g/cm³